(1)
Th8Tc2Sn PBE-GGA relaxed; total moment = 0.0 μB/f.u.; volume = 325.8 Å³ per cell; E_form = -0.084 eV/atom
1.0
5.634 -0.034 -0.051
-0.977 8.047 -0.275
-0.977 -3.353 7.320
Th Tc Sn
8 2 1
Direct
0.926 0.916 0.673 Th
0.500 0.749 0.251 Th
0.500 0.251 0.749 Th
0.696 0.399 0.399 Th
0.074 0.084 0.327 Th
0.074 0.327 0.084 Th
0.304 0.601 0.601 Th
0.926 0.673 0.916 Th
0.000 0.292 0.708 Tc
0.000 0.708 0.292 Tc
0.500 0.000 0.000 Sn

---

(2)
Th3Tc2Sn PBE-GGA relaxed; total moment = 0.0 μB/f.u.; volume = 148.8 Å³ per cell; E_form = -0.251 eV/atom; distance to the lowest polymorph of the same formula = 0.0 meV per atom
1.0
4.583 0.000 -1.324
-0.339 4.126 -1.168
-0.187 -0.007 7.924
Th Tc Sn
3 2 1
Direct
0.500 0.500 0.000 Th
0.187 0.687 0.374 Th
0.813 0.313 0.626 Th
0.362 0.862 0.724 Tc
0.638 0.138 0.276 Tc
0.000 0.000 0.000 Sn

---

(3)
Th8Tc3Sn2 PBE-GGA relaxed; total moment = 0.0 μB/f.u.; volume = 420.1 Å³ per cell; E_form = -0.044 eV/atom
1.0
7.381 0.000 0.349
0.000 7.465 0.000
-2.577 -3.732 7.503
Th Tc Sn
8 3 2
Direct
0.074 0.403 0.805 Th
0.926 0.597 0.195 Th
0.624 0.645 0.795 Th
0.376 0.850 0.205 Th
0.376 0.355 0.205 Th
0.139 0.878 0.755 Th
0.624 0.150 0.795 Th
0.861 0.122 0.245 Th
0.000 0.787 0.000 Tc
0.500 0.000 0.000 Tc
0.000 0.213 0.000 Tc
0.300 0.258 0.516 Sn
0.700 0.742 0.484 Sn

---

(4)
Ti5Tc4Sn PBE-GGA relaxed; total moment = 0.0 μB/f.u.; volume = 158.1 Å³ per cell; E_form = -0.471 eV/atom
1.0
-0.264 2.983 -1.070
0.021 -1.072 -2.994
-15.585 -1.256 0.341
Ti Tc Sn
5 4 1
Direct
0.500 0.500 0.307 Ti
0.500 0.500 0.881 Ti
0.500 0.500 0.693 Ti
0.500 0.500 0.119 Ti
0.500 0.500 0.500 Ti
0.000 0.000 0.203 Tc
0.000 0.000 0.599 Tc
0.000 0.000 0.401 Tc
0.000 0.000 0.797 Tc
0.000 0.000 0.000 Sn

---

(5)
Ti3TcSn PBE-GGA relaxed; total moment = 1.4 μB/f.u.; volume = 104.8 Å³ per cell; E_form = 0.311 eV/atom; distance to the lowest polymorph of the same formula = 0.0 meV per atom
1.0
4.714 0.000 0.000
0.000 4.714 0.000
0.000 0.000 4.714
Ti Tc Sn
3 1 1
Direct
0.000 0.000 0.500 Ti
0.500 0.000 0.000 Ti
0.000 0.500 0.000 Ti
0.000 0.000 0.000 Tc
0.500 0.500 0.500 Sn

---

(6)
TiTc3Sn PBE-GGA relaxed; total moment = 2.5 μB/f.u.; volume = 95.7 Å³ per cell; E_form = 1.133 eV/atom; distance to the lowest polymorph of the same formula = 0.0 meV per atom
1.0
4.574 0.000 0.000
0.000 4.574 0.000
0.000 0.000 4.574
Tc Ti Sn
3 1 1
Direct
0.000 0.500 0.000 Tc
0.500 0.000 0.000 Tc
0.000 0.000 0.500 Tc
0.000 0.000 0.000 Ti
0.500 0.500 0.500 Sn

---

(7)
Ti5TcSn2 PBE-GGA relaxed; total moment = 0.0 μB/f.u.; volume = 139.0 Å³ per cell; E_form = -0.328 eV/atom
1.0
4.461 0.000 -1.673
-0.627 4.417 -1.673
0.075 0.087 6.986
Sn Ti Tc
2 5 1
Direct
0.750 0.750 0.500 Sn
0.250 0.250 0.500 Sn
0.113 0.613 0.226 Ti
0.613 0.113 0.226 Ti
0.887 0.387 0.774 Ti
0.500 0.500 0.000 Ti
0.387 0.887 0.774 Ti
0.000 0.000 0.000 Tc

---

(8)
Ti2TcSn PBE-GGA relaxed; total moment = 0.0 μB/f.u.; volume = 149.5 Å³ per cell; E_form = 0.119 eV/atom
1.0
7.369 0.000 0.000
0.000 7.369 0.000
3.685 3.685 2.754
Tc Ti Sn
2 4 2
Direct
0.250 0.750 0.500 Tc
0.500 0.500 0.000 Tc
0.176 0.625 0.250 Ti
0.875 0.824 0.750 Ti
0.574 0.125 0.250 Ti
0.375 0.426 0.750 Ti
0.750 0.250 0.500 Sn
0.000 0.000 0.000 Sn

---

(9)
Ti3Tc4Sn PBE-GGA relaxed; total moment = 0.0 μB/f.u.; volume = 249.3 Å³ per cell; E_form = -0.349 eV/atom
1.0
4.431 0.000 0.000
0.000 6.350 0.000
0.000 0.000 8.861
Sn Ti Tc
2 6 8
Direct
0.000 0.500 0.500 Sn
0.000 0.500 0.000 Sn
0.000 0.000 0.000 Ti
0.500 0.000 0.250 Ti
0.500 0.500 0.250 Ti
0.000 0.000 0.500 Ti
0.500 0.000 0.750 Ti
0.500 0.500 0.750 Ti
0.500 0.762 0.000 Tc
0.500 0.238 0.000 Tc
0.000 0.238 0.250 Tc
0.000 0.238 0.750 Tc
0.000 0.762 0.750 Tc
0.500 0.238 0.500 Tc
0.000 0.762 0.250 Tc
0.500 0.762 0.500 Tc

---

(10)
Ti2TcSn PBE-GGA relaxed; total moment = 0.0 μB/f.u.; volume = 67.6 Å³ per cell; E_form = -0.371 eV/atom
1.0
-1.326 -1.787 2.480
0.297 -2.766 -1.835
5.562 -0.931 2.304
Tc Ti Sn
1 2 1
Direct
0.500 0.500 0.000 Tc
0.000 0.000 0.224 Ti
0.000 0.000 0.776 Ti
0.500 0.500 0.500 Sn

---

(11)
Ti2Tc2Sn PBE-GGA relaxed; total moment = 0.0 μB/f.u.; volume = 169.9 Å³ per cell; E_form = -0.073 eV/atom; distance to the lowest polymorph of the same formula = 0.0 meV per atom
1.0
7.259 0.000 0.000
0.000 7.259 0.000
0.000 0.000 3.224
Tc Ti Sn
4 4 2
Direct
0.646 0.146 0.000 Tc
0.854 0.646 0.000 Tc
0.354 0.854 0.000 Tc
0.146 0.354 0.000 Tc
0.651 0.849 0.500 Ti
0.349 0.151 0.500 Ti
0.151 0.651 0.500 Ti
0.849 0.349 0.500 Ti
0.500 0.500 0.000 Sn
0.000 0.000 0.000 Sn

---

(12)
Ti4Tc5Sn PBE-GGA relaxed; total moment = 0.0 μB/f.u.; volume = 154.4 Å³ per cell; E_form = -0.353 eV/atom
1.0
-0.764 -2.221 2.092
2.725 -1.466 -0.562
6.811 8.322 11.323
Tc Ti Sn
5 4 1
Direct
0.500 0.500 0.696 Tc
0.500 0.500 0.109 Tc
0.500 0.500 0.304 Tc
0.500 0.500 0.500 Tc
0.500 0.500 0.891 Tc
0.000 0.000 0.795 Ti
0.000 0.000 0.205 Ti
0.000 0.000 0.402 Ti
0.000 0.000 0.598 Ti
0.000 0.000 0.000 Sn

---

(13)
TiTcSn3 PBE-GGA relaxed; total moment = 0.4 μB/f.u.; volume = 134.4 Å³ per cell; E_form = 0.745 eV/atom; distance to the lowest polymorph of the same formula = 0.0 meV per atom
1.0
-2.567 3.476 2.751
-4.406 -2.353 -1.138
0.491 -2.936 4.169
Sn Tc Ti
3 1 1
Direct
0.000 0.500 0.000 Sn
0.000 0.000 0.500 Sn
0.500 0.000 0.000 Sn
0.000 0.000 0.000 Tc
0.500 0.500 0.500 Ti

---

(14)
TiTc3Sn PBE-GGA relaxed; total moment = 2.3 μB/f.u.; volume = 110.8 Å³ per cell; E_form = 1.913 eV/atom; distance to the lowest polymorph of the same formula = 779.5 meV per atom
1.0
-1.827 -2.257 -3.825
3.943 -2.728 -0.273
-2.044 -3.244 2.891
Ti Tc Sn
1 3 1
Direct
0.500 0.500 0.500 Ti
0.500 0.000 0.000 Tc
0.000 0.500 0.000 Tc
0.000 0.000 0.500 Tc
0.000 0.000 0.000 Sn

---

(15)
Ti2Tc2Sn PBE-GGA relaxed; total moment = 0.0 μB/f.u.; volume = 92.9 Å³ per cell; E_form = 0.187 eV/atom; distance to the lowest polymorph of the same formula = 259.6 meV per atom
1.0
-2.181 2.762 -0.137
-2.730 -2.122 0.667
-1.518 1.425 7.612
Ti Tc Sn
2 2 1
Direct
0.391 0.391 0.217 Ti
0.609 0.609 0.783 Ti
0.750 0.250 0.500 Tc
0.250 0.750 0.500 Tc
0.000 0.000 0.000 Sn

---

(16)
Ti2Tc2Sn PBE-GGA relaxed; total moment = 0.0 μB/f.u.; volume = 168.0 Å³ per cell; E_form = 0.064 eV/atom; distance to the lowest polymorph of the same formula = 136.3 meV per atom
1.0
7.386 0.000 0.000
0.000 7.386 0.000
0.000 0.000 3.080
Tc Ti Sn
4 4 2
Direct
0.819 0.319 0.500 Tc
0.319 0.181 0.500 Tc
0.181 0.681 0.500 Tc
0.681 0.819 0.500 Tc
0.871 0.629 0.000 Ti
0.371 0.871 0.000 Ti
0.129 0.371 0.000 Ti
0.629 0.129 0.000 Ti
0.000 0.000 0.000 Sn
0.500 0.500 0.000 Sn

---

(17)
Ti4TcSn PBE-GGA relaxed; total moment = 0.0 μB/f.u.; volume = 121.3 Å³ per cell; E_form = 0.063 eV/atom
1.0
4.442 0.000 0.000
2.221 3.845 0.225
2.221 0.867 7.156
Ti Tc Sn
4 1 1
Direct
0.634 0.635 0.096 Ti
0.887 0.888 0.338 Ti
0.113 0.112 0.662 Ti
0.366 0.365 0.904 Ti
0.000 0.000 0.000 Tc
0.500 0.500 0.500 Sn

---

(18)
ZrTiTcSn2 PBE-GGA relaxed; total moment = 1.5 μB/f.u.; volume = 138.4 Å³ per cell; E_form = 1.200 eV/atom
1.0
5.419 0.000 0.000
0.000 4.713 0.000
0.000 0.000 5.419
Sn Tc Zr Ti
2 1 1 1
Direct
0.000 0.000 0.500 Sn
0.500 0.000 0.000 Sn
0.000 0.500 0.000 Tc
0.000 0.000 0.000 Zr
0.500 0.500 0.500 Ti

---

(19)
Tl2TcSn PBE-GGA relaxed; total moment = 1.8 μB/f.u.; volume = 95.3 Å³ per cell; E_form = 0.845 eV/atom; distance to the lowest polymorph of the same formula = 438.4 meV per atom
1.0
-2.162 0.061 4.649
-4.967 1.169 0.503
-3.370 -3.636 1.308
Sn Tl Tc
1 2 1
Direct
0.500 0.500 0.500 Sn
0.750 0.750 0.750 Tl
0.250 0.250 0.250 Tl
0.000 0.000 0.000 Tc

---

(20)
TlTc3Sn PBE-GGA relaxed; total moment = 4.3 μB/f.u.; volume = 118.7 Å³ per cell; E_form = 1.888 eV/atom; distance to the lowest polymorph of the same formula = 0.0 meV per atom
1.0
-1.601 -4.181 2.028
3.075 -2.561 -2.852
3.483 0.340 3.450
Sn Tl Tc
1 1 3
Direct
0.000 0.000 0.000 Sn
0.500 0.500 0.500 Tl
0.000 0.000 0.500 Tc
0.500 0.000 0.000 Tc
0.000 0.500 0.000 Tc

---

(21)
TlTcSn2 PBE-GGA relaxed; total moment = 0.0 μB/f.u.; volume = 280.9 Å³ per cell; E_form = 0.659 eV/atom; distance to the lowest polymorph of the same formula = 540.4 meV per atom
1.0
5.978 0.000 0.000
0.000 5.978 0.000
2.989 2.989 7.858
Sn Tc Tl
4 2 2
Direct
0.375 0.514 0.750 Sn
0.486 0.125 0.250 Sn
0.875 0.736 0.750 Sn
0.264 0.625 0.250 Sn
0.250 0.750 0.500 Tc
0.500 0.500 0.000 Tc
0.750 0.250 0.500 Tl
0.000 0.000 0.000 Tl

---

(22)
TlTc2Sn PBE-GGA relaxed; total moment = 3.9 μB/f.u.; volume = 166.8 Å³ per cell; E_form = 0.979 eV/atom; distance to the lowest polymorph of the same formula = 420.0 meV per atom
1.0
7.463 0.000 0.000
0.000 7.463 0.000
3.732 3.732 2.996
Tc Sn Tl
4 2 2
Direct
0.875 0.862 0.750 Tc
0.612 0.125 0.250 Tc
0.138 0.625 0.250 Tc
0.375 0.388 0.750 Tc
0.250 0.750 0.500 Sn
0.500 0.500 0.000 Sn
0.750 0.250 0.500 Tl
0.000 0.000 0.000 Tl

---

(23)
Tl2TcSn PBE-GGA relaxed; total moment = 0.0 μB/f.u.; volume = 287.2 Å³ per cell; E_form = 0.406 eV/atom; distance to the lowest polymorph of the same formula = 0.0 meV per atom
1.0
-6.645 -8.090 -1.214
1.616 0.235 -10.412
-0.547 -5.584 -5.545
Tl Tc Sn
4 2 2
Direct
0.375 0.625 0.750 Tl
0.375 0.125 0.250 Tl
0.875 0.625 0.750 Tl
0.375 0.625 0.250 Tl
0.250 0.750 0.500 Tc
0.500 0.500 0.000 Tc
0.000 0.000 0.000 Sn
0.750 0.250 0.500 Sn

---

(24)
TlTcSn3 PBE-GGA relaxed; total moment = 3.9 μB/f.u.; volume = 178.0 Å³ per cell; E_form = 1.518 eV/atom; distance to the lowest polymorph of the same formula = 1334.2 meV per atom
1.0
-2.473 4.121 -2.923
1.230 -2.666 -4.799
-4.901 -2.748 0.271
Tl Sn Tc
1 3 1
Direct
0.000 0.000 0.000 Tl
0.000 0.500 0.000 Sn
0.000 0.000 0.500 Sn
0.500 0.000 0.000 Sn
0.500 0.500 0.500 Tc

---

(25)
TlTc2Sn PBE-GGA relaxed; total moment = 1.9 μB/f.u.; volume = 71.8 Å³ per cell; E_form = 0.559 eV/atom; distance to the lowest polymorph of the same formula = 0.0 meV per atom
1.0
0.000 3.300 3.300
3.300 0.000 3.300
3.300 3.300 0.000
Tc Sn Tl
2 1 1
Direct
0.750 0.750 0.750 Tc
0.250 0.250 0.250 Tc
0.000 0.000 0.000 Sn
0.500 0.500 0.500 Tl

---

(26)
TlTcSn2 PBE-GGA relaxed; total moment = 0.0 μB/f.u.; volume = 95.0 Å³ per cell; E_form = 0.119 eV/atom; distance to the lowest polymorph of the same formula = 0.0 meV per atom
1.0
3.300 0.000 0.000
0.000 3.300 0.000
0.000 0.000 8.725
Sn Tl Tc
2 1 1
Direct
0.000 0.000 0.816 Sn
0.000 0.000 0.184 Sn
0.500 0.500 0.500 Tl
0.500 0.500 0.000 Tc